# 1
In2PdW: relaxed, PBE.

E: -5.5128 eV per atom
crystal system: cubic
total magnetic moment: 0.8 μB per cell
ΔE_f: 0.393 eV/atom

Cell lengths 4.7028, 4.7028, 4.7028 Å; angles 60.00, 60.00, 60.00 degrees
With the nearest neighbours (Å) after each atom.
Atoms (fractional coordinates):
In 0.7500 0.7500 0.7500  4 W 2.88, 4 Pd 2.88
In 0.2500 0.2500 0.2500  4 W 2.88, 4 Pd 2.88
W 0.5000 0.5000 0.5000  8 In 2.88
Pd 0.0000 0.0000 0.0000  8 In 2.88



# 2
TmGa12Co4: relaxed, PBE.

E: -4.2126 eV per atom
crystal system: cubic
total magnetic moment: 1.3 μB per cell
ΔE_f: -0.141 eV/atom

Cell lengths 7.8326, 7.8326, 7.8326 Å; angles 109.47, 109.47, 109.47 degrees
With the nearest neighbours (Å) after each atom.
Atoms (fractional coordinates):
Ga 0.9999 0.2571 0.7427  2 Co 2.26
Ga 0.2573 0.5144 0.2571  2 Co 2.26
Ga 0.7429 0.7427 0.4856  2 Co 2.26
Ga 0.2573 0.0001 0.7429  2 Co 2.26
Ga 0.4856 0.7429 0.7427  2 Co 2.26
Ga 0.5144 0.2571 0.2573  2 Co 2.26
Ga 0.7427 0.9999 0.2571  2 Co 2.26
Ga 0.2571 0.2573 0.5144  2 Co 2.26
Ga 0.0001 0.7429 0.2573  2 Co 2.26
Ga 0.7427 0.4856 0.7429  2 Co 2.26
Ga 0.7429 0.2573 0.0001  2 Co 2.26
Ga 0.2571 0.7427 0.9999  2 Co 2.26
Tm 0.0000 0.0000 0.0000  12 Ga 3.29
Co 0.5000 0.5000 0.5000  6 Ga 2.26
Co 0.5000 0.0000 0.0000  6 Ga 2.26
Co 0.0000 0.0000 0.5000  6 Ga 2.26
Co 0.0000 0.5000 0.0000  6 Ga 2.26



# 3
ScMoCl2: relaxed, PBE.

E: -6.0242 eV per atom
formation energy from raw total energies: -0.810 eV per atom
crystal system: trigonal
total magnetic moment: 0.0 μB per cell

Cell lengths 9.2833, 9.2833, 9.2833 Å; angles 20.79, 20.79, 20.79 degrees
With the nearest neighbours (Å) after each atom.
Atoms (fractional coordinates):
Cl 0.2219 0.2219 0.2219  3 Mo 2.44
Cl 0.0240 0.0240 0.0240  3 Sc 2.58
Mo 0.5006 0.5006 0.5006  3 Cl 2.44
Sc 0.7535 0.7535 0.7535  3 Cl 2.58



# 4
RbAcSnTe3: relaxed, PBE.

E: -4.1351 eV per atom
formation energy from raw total energies: -1.051 eV per atom
crystal system: monoclinic
total magnetic moment: 0.0 μB per cell

Cell lengths 4.6511, 9.6832, 12.4950 Å; angles 106.57, 90.00, 90.00 degrees
With the nearest neighbours (Å) after each atom.
Atoms (fractional coordinates):
Te 0.7500 0.9132 0.2235  1 Sn 2.89
Te 0.2500 0.6676 0.4297  2 Sn 3.05, 1 Ac 3.37
Te 0.7500 0.3324 0.5703  2 Sn 3.05, 1 Ac 3.37
Te 0.2500 0.0868 0.7765  1 Sn 2.89
Te 0.2500 0.6006 0.8834  3 Ac 3.30-3.31
Te 0.7500 0.3994 0.1166  3 Ac 3.30-3.31
Sn 0.2500 0.1247 0.5556  3 Te 2.89-3.05
Sn 0.7500 0.8753 0.4444  3 Te 2.89-3.05
Rb 0.2500 0.2439 0.2831  7 Te 3.71-4.16, 1 Sn 3.89
Rb 0.7500 0.7561 0.7169  7 Te 3.71-4.16, 1 Sn 3.89
Ac 0.7500 0.3485 0.8433  6 Te 3.30-3.37
Ac 0.2500 0.6515 0.1567  6 Te 3.30-3.37